No. 1
Pm3TmSc: optimized geometry, PBE.

Properties
ΔE_f ... 0.07 eV per atom
Excess energy over the best structure of this formula in the dataset ... 0 meV per atom

a b c (Å): 3.5098 8.3393 11.5489
angles (deg): 72.91 81.26 77.88
Element x y z (fractional)
Pm (0.0724, 0.3033, 0.0503)
Pm (0.2896, 0.0757, 0.8463)
Pm (0.3287, 0.2918, 0.5500)
Pm (0.6713, 0.7082, 0.4500)
Pm (0.7104, 0.9243, 0.1537)
Pm (0.9276, 0.6967, 0.9497)
Tm (0.3752, 0.5089, 0.2399)
Tm (0.6248, 0.4911, 0.7601)
Sc (0.0180, 0.1096, 0.3531)
Sc (0.9820, 0.8904, 0.6469)


No. 2
Pm8Tm3Sc2: optimized geometry, PBE.

Properties
ΔE_f ... 0.22 eV per atom
Excess energy over the best structure of this formula in the dataset ... 4 meV per atom

a b c (Å): 8.8094 8.8094 6.7135
angles (deg): 106.23 106.23 62.81
Element x y z (fractional)
Pm (0.0590, 0.6968, 0.3061)
Pm (0.0980, 0.0980, 0.2109)
Pm (0.3032, 0.9410, 0.6939)
Pm (0.3120, 0.3120, 0.6115)
Pm (0.6880, 0.6880, 0.3885)
Pm (0.6968, 0.0590, 0.3061)
Pm (0.9020, 0.9020, 0.7891)
Pm (0.9410, 0.3032, 0.6939)
Tm (0.3317, 0.6683, 0.0000)
Tm (0.5000, 0.5000, 0.5000)
Tm (0.6683, 0.3317, 0.0000)
Sc (0.3069, 0.3069, 0.0828)
Sc (0.6931, 0.6931, 0.9172)


No. 3
Pm7Tm2Sc2: optimized geometry, PBE.

Properties
ΔE_f ... 0.15 eV per atom
Excess energy over the best structure of this formula in the dataset ... 0 meV per atom

a b c (Å): 7.9188 7.9188 6.0754
angles (deg): 104.60 104.60 92.95
Element x y z (fractional)
Pm (0.0000, 0.0000, 0.0000)
Pm (0.0586, 0.5807, 0.8085)
Pm (0.4193, 0.9414, 0.1915)
Pm (0.4215, 0.4215, 0.2042)
Pm (0.5785, 0.5785, 0.7958)
Pm (0.5807, 0.0586, 0.8085)
Pm (0.9414, 0.4193, 0.1915)
Tm (0.2129, 0.2129, 0.5809)
Tm (0.7871, 0.7871, 0.4191)
Sc (0.2220, 0.7780, 0.5000)
Sc (0.7780, 0.2220, 0.5000)


No. 4
PmTm8Sc6: optimized geometry, PBE.

Properties
ΔE_f ... 0.18 eV per atom
Excess energy over the best structure of this formula in the dataset ... 0 meV per atom

a b c (Å): 8.5555 8.5555 8.5555
angles (deg): 58.75 58.75 58.75
Element x y z (fractional)
Pm (0.0000, 0.0000, 0.0000)
Tm (0.1227, 0.6604, 0.8132)
Tm (0.1868, 0.8773, 0.3396)
Tm (0.3396, 0.1868, 0.8773)
Tm (0.4165, 0.4165, 0.4165)
Tm (0.5835, 0.5835, 0.5835)
Tm (0.6604, 0.8132, 0.1227)
Tm (0.8132, 0.1227, 0.6604)
Tm (0.8773, 0.3396, 0.1868)
Sc (0.0672, 0.5156, 0.2833)
Sc (0.2833, 0.0672, 0.5156)
Sc (0.4844, 0.7167, 0.9328)
Sc (0.5156, 0.2833, 0.0672)
Sc (0.7167, 0.9328, 0.4844)
Sc (0.9328, 0.4844, 0.7167)


No. 5
Pm4Tm5Sc: optimized geometry, PBE.

Properties
ΔE_f ... 0.22 eV per atom
Excess energy over the best structure of this formula in the dataset ... 188 meV per atom

a b c (Å): 8.0598 8.0598 8.0598
angles (deg): 97.29 97.29 138.26
Element x y z (fractional)
Pm (0.0000, 0.3214, 0.3214)
Pm (0.0000, 0.6786, 0.6786)
Pm (0.3214, 0.0000, 0.3214)
Pm (0.6786, 0.0000, 0.6786)
Tm (0.2315, 0.2315, 0.0000)
Tm (0.3240, 0.3240, 0.6268)
Tm (0.3240, 0.6972, 0.0000)
Tm (0.6972, 0.3240, 0.0000)
Tm (0.6972, 0.6972, 0.3732)
Sc (0.7547, 0.7547, 0.0000)


No. 6
Pm3TmSc2: optimized geometry, PBE.

Properties
ΔE_f ... 0.27 eV per atom
Excess energy over the best structure of this formula in the dataset ... 102 meV per atom

a b c (Å): 8.7218 8.7218 5.5073
angles (deg): 90.00 90.00 67.54
Element x y z (fractional)
Pm (0.0908, 0.9092, 0.7500)
Pm (0.1119, 0.3803, 0.2500)
Pm (0.3803, 0.1119, 0.7500)
Pm (0.6197, 0.8881, 0.2500)
Pm (0.8881, 0.6197, 0.7500)
Pm (0.9092, 0.0908, 0.2500)
Tm (0.2806, 0.7194, 0.2500)
Tm (0.7194, 0.2806, 0.7500)
Sc (0.3025, 0.4912, 0.7500)
Sc (0.4912, 0.3025, 0.2500)
Sc (0.5088, 0.6975, 0.7500)
Sc (0.6975, 0.5088, 0.2500)


No. 7
Pm3Tm4Sc2: optimized geometry, PBE.

Properties
ΔE_f ... 0.02 eV per atom
Excess energy over the best structure of this formula in the dataset ... 0 meV per atom

a b c (Å): 6.1621 9.0220 10.9274
angles (deg): 109.30 106.29 90.12
Element x y z (fractional)
Pm (0.0550, 0.3058, 0.4414)
Pm (0.2798, 0.0300, 0.2173)
Pm (0.3894, 0.6384, 0.1123)
Pm (0.6106, 0.3616, 0.8877)
Pm (0.7202, 0.9700, 0.7827)
Pm (0.9450, 0.6942, 0.5586)
Tm (0.0561, 0.4767, 0.7787)
Tm (0.1633, 0.0837, 0.6669)
Tm (0.1726, 0.2453, 0.0032)
Tm (0.3891, 0.8021, 0.4456)
Tm (0.6109, 0.1979, 0.5544)
Tm (0.8274, 0.7547, 0.9968)
Tm (0.8367, 0.9163, 0.3331)
Tm (0.9439, 0.5233, 0.2213)
Sc (0.2863, 0.8597, 0.8879)
Sc (0.4983, 0.5819, 0.6654)
Sc (0.5017, 0.4181, 0.3346)
Sc (0.7137, 0.1403, 0.1121)


No. 8
Pm2Tm5Sc12: optimized geometry, PBE.

Properties
ΔE_f ... 0.14 eV per atom

a b c (Å): 8.6557 8.6557 8.0637
angles (deg): 91.67 91.67 59.62
Element x y z (fractional)
Pm (0.1948, 0.8052, 0.0000)
Pm (0.8052, 0.1948, 0.0000)
Tm (0.2000, 0.2000, 0.0016)
Tm (0.2629, 0.2629, 0.4190)
Tm (0.5000, 0.5000, 0.5000)
Tm (0.7371, 0.7371, 0.5810)
Tm (0.8000, 0.8000, 0.9984)
Sc (0.0518, 0.0518, 0.3308)
Sc (0.0637, 0.6828, 0.3523)
Sc (0.1641, 0.5229, 0.7491)
Sc (0.3172, 0.9363, 0.6477)
Sc (0.4052, 0.4052, 0.1184)
Sc (0.4771, 0.8359, 0.2509)
Sc (0.5229, 0.1641, 0.7491)
Sc (0.5948, 0.5948, 0.8816)
Sc (0.6828, 0.0637, 0.3523)
Sc (0.8359, 0.4771, 0.2509)
Sc (0.9363, 0.3172, 0.6477)
Sc (0.9482, 0.9482, 0.6692)


Going through the records in order, we get V values of 31.4, 33.7, 32.2, 28.7, 32.6, 32.3, 30.4, 27.4 Å³ per atom.